[1]
Here is TmAs4Ru4 after structural relaxation from Alexandria. Energies are from PBE-GGA.

Structure (extended XYZ):
```
18
Lattice="-1.247 4.386 4.213 -6.042 -0.403 -1.369 -0.893 -5.627 5.595" Properties=species:S:1:pos:R:3 pbc="T T T"
Tm -4.091 -0.822 4.219
Tm 0.000 0.000 0.000
As -1.179 1.484 4.768
As -3.481 -0.304 1.374
As -5.021 -4.210 2.897
As -2.264 -4.026 3.522
As -2.720 -2.422 6.291
As -6.004 -2.641 5.547
As -4.158 2.081 3.664
As -0.610 -0.518 2.845
Ru -2.037 -2.334 1.828
Ru -2.054 1.513 2.392
Ru -1.439 -0.241 6.424
Ru -4.096 -4.267 5.254
Ru -5.423 1.288 1.628
Ru -0.888 -2.182 4.560
Ru -4.791 -1.821 7.603
Ru -4.710 -2.513 1.222
```

Calculated values
energy of formation from the pure elements = -0.289 eV/atom
space-group type = P4_2/nmc, No. 137
electronic total energy = -6.9749 eV per atom

=====

[2]
Here is TcOs3 after structural relaxation from Alexandria. Energies are from PBE-GGA.

Structure (extended XYZ):
```
8
Lattice="5.508 0.000 0.000 2.754 4.770 0.000 0.000 0.000 4.358" Properties=species:S:1:pos:R:3 pbc="T T T"
Os 0.004 0.002 0.000
Os 4.135 0.791 2.179
Os 2.751 0.004 0.000
Os 1.379 2.380 0.000
Os 1.373 0.793 2.179
Os 2.752 3.185 2.179
Tc 5.509 3.181 2.179
Tc 4.131 2.385 0.000
```

Calculated values
energy of formation from the pure elements = -0.067 eV/atom
space-group type = Cmcm, No. 63
electronic total energy = -11.0804 eV per atom

=====

[3]
Here is NaCeF6 after structural relaxation from Alexandria. Energies are from PBE-GGA.

Structure (extended XYZ):
```
16
Lattice="5.332 0.000 0.000 0.000 5.332 0.000 0.000 0.000 8.859" Properties=species:S:1:pos:R:3 pbc="T T T"
F 1.041 1.243 2.965
F 4.291 4.089 2.965
F 4.089 1.041 1.465
F 3.930 3.696 0.000
F 1.041 1.243 5.894
F 4.089 1.041 7.394
F 1.243 4.291 1.465
F 4.291 4.089 5.894
F 1.636 3.930 4.430
F 1.243 4.291 7.394
F 1.401 1.636 0.000
F 3.696 1.401 4.430
Ce 0.000 0.000 0.000
Ce 0.000 0.000 4.430
Na 2.666 2.666 6.644
Na 2.666 2.666 2.215
```

Calculated values
space-group type = P4_2/m, No. 84
electronic total energy = -5.2361 eV per atom
ΔE_f (raw) = -2.93 eV/atom

=====

[4]
Here is CdGa2Ag7Sn2 after structural relaxation from Alexandria. Energies are from PBE-GGA.

Structure (extended XYZ):
```
12
Lattice="-1.490 -0.787 3.863 0.468 -4.132 -0.689 11.371 -4.573 8.250" Properties=species:S:1:pos:R:3 pbc="T T T"
Ga 3.430 -2.346 3.199
Ga 6.919 -7.146 8.226
Ag -0.511 -2.460 1.587
Ag 8.661 -5.056 9.396
Ag 5.463 -3.462 4.893
Ag 0.712 -2.770 4.297
Ag 9.637 -6.722 7.128
Ag 4.886 -6.030 6.532
Ag 1.688 -4.436 2.029
Cd 0.000 0.000 0.000
Sn 7.410 -4.696 6.637
Sn 2.939 -4.796 4.788
```

Calculated values
energy of formation from the pure elements = 0.028 eV/atom
space-group type = C2/m, No. 12
electronic total energy = -2.8826 eV per atom

=====

[5]
Here is MnAuBr4 after structural relaxation from Alexandria. Energies are from PBE-GGA.

Structure (extended XYZ):
```
6
Lattice="-5.294 -2.373 2.081 -4.297 -1.913 -3.984 -1.142 -6.023 -0.645" Properties=species:S:1:pos:R:3 pbc="T T T"
Br -6.174 -4.822 -2.949
Br -4.023 -3.865 -0.955
Br -4.595 -6.879 -1.277
Br -6.673 -5.052 0.087
Mn -8.050 -7.732 -1.910
Au 0.000 0.000 0.000
```

Calculated values
space-group type = F-43m, No. 216
electronic total energy = -2.2991 eV per atom
ΔE_f (raw) = 0.89 eV/atom

=====

[6]
Here is NdDy2Er2Sc2 after structural relaxation from Alexandria. Energies are from PBE-GGA.

Structure (extended XYZ):
```
7
Lattice="-2.338 1.160 -2.158 -2.427 -8.392 0.777 -2.796 5.091 5.764" Properties=species:S:1:pos:R:3 pbc="T T T"
Sc -4.200 -2.351 3.287
Sc -3.360 0.209 1.096
Nd -1.398 2.545 2.882
Dy -4.256 4.111 4.163
Dy -3.304 -6.253 0.219
Er -3.820 -2.851 -0.050
Er -3.740 0.709 4.433
```

Calculated values
energy of formation from the pure elements = 0.183 eV/atom
space-group type = C2/m, No. 12
electronic total energy = -4.9260 eV per atom

=====

[7]
Here is KFe3Bi after structural relaxation from Alexandria. Energies are from PBE-GGA.

Structure (extended XYZ):
```
5
Lattice="-2.473 -0.443 -4.440 4.361 -1.315 -2.298 -0.945 -4.910 1.017" Properties=species:S:1:pos:R:3 pbc="T T T"
K 0.472 -3.334 -2.861
Bi 0.000 0.000 0.000
Fe -1.236 -0.222 -2.220
Fe -0.472 -2.455 0.508
Fe 2.181 -0.658 -1.149
```

Calculated values
energy of formation from the pure elements = 1.298 eV/atom
space-group type = Pm-3m, No. 221
electronic total energy = -4.7758 eV per atom

=====

[8]
Here is Dy6SnSe12 after structural relaxation from Alexandria. Energies are from PBE-GGA.

Structure (extended XYZ):
```
19
Lattice="8.185 0.003 0.003 -1.238 8.091 0.003 -1.238 -1.442 7.962" Properties=species:S:1:pos:R:3 pbc="T T T"
Se 3.982 0.835 3.378
Se 2.534 4.418 1.425
Se 0.221 2.597 4.601
Se 7.506 2.692 0.332
Se 3.175 2.234 6.544
Se 5.488 4.054 3.367
Se 1.727 5.817 4.591
Se 7.000 -0.745 5.261
Se 1.523 -1.072 7.761
Se 4.187 7.724 0.207
Se -1.797 3.960 7.637
Se -1.291 7.396 2.708
Dy 4.632 2.451 1.134
Dy 1.721 0.232 5.073
Dy 3.988 6.420 2.896
Dy 1.078 4.200 6.834
Dy 5.741 1.971 5.354
Dy -0.032 4.681 2.614
Sn 0.000 0.000 0.000
```

Calculated values
space-group type = R-3, No. 148
electronic total energy = -5.3128 eV per atom
ΔE_f (raw) = -1.45 eV/atom

=====

[9]
Here is Tb5Mg2Pb4 after structural relaxation from Alexandria. Energies are from PBE-GGA.

Structure (extended XYZ):
```
11
Lattice="-2.826 2.039 -2.774 -1.930 -6.833 -3.056 -4.682 2.314 10.045" Properties=species:S:1:pos:R:3 pbc="T T T"
Tb -3.816 -5.001 0.211
Tb -6.925 -1.049 2.707
Tb -1.413 1.019 -1.387
Tb -2.512 -1.431 1.507
Tb -5.622 2.521 4.003
Mg -6.126 -0.349 5.983
Mg -3.312 -2.131 -1.769
Pb -7.812 2.454 6.185
Pb -5.352 -2.221 0.244
Pb -1.625 -4.934 -1.971
Pb -4.085 -0.259 3.971
```

Calculated values
energy of formation from the pure elements = -0.164 eV/atom
space-group type = C2/m, No. 12
electronic total energy = -3.9068 eV per atom

=====

[10]
Here is TlAgC after structural relaxation from Alexandria. Energies are from PBE-GGA.

Structure (extended XYZ):
```
6
Lattice="4.316 -0.573 -0.563 -1.097 5.268 0.086 -2.378 5.147 6.566" Properties=species:S:1:pos:R:3 pbc="T T T"
Ag 2.274 4.638 2.909
Ag -0.342 3.821 1.440
Tl 1.157 1.392 0.687
Tl -0.739 9.377 5.511
C 1.938 6.658 2.984
C 2.795 2.631 2.858
```

Calculated values
energy of formation from the pure elements = 0.674 eV/atom
space-group type = P1, No. 1
electronic total energy = -4.1398 eV per atom

=====

[11]
Here is SmThCdTc after structural relaxation from Alexandria. Energies are from PBE-GGA.

Structure (extended XYZ):
```
4
Lattice="-2.471 4.354 1.389 -3.693 1.982 -3.069 -4.979 -0.195 1.469" Properties=species:S:1:pos:R:3 pbc="T T T"
Cd 0.000 0.000 0.000
Tc -5.571 3.071 -0.105
Sm -8.357 4.606 -0.158
Th -2.786 1.535 -0.053
```

Calculated values
energy of formation from the pure elements = -0.003 eV/atom
space-group type = F-43m, No. 216
electronic total energy = -5.8576 eV per atom

=====

[12]
Here is MnGe2PbSe6 after structural relaxation from Alexandria. Energies are from PBE-GGA.

Structure (extended XYZ):
```
20
Lattice="7.213 0.362 0.376 2.944 9.552 -0.011 2.944 -0.365 9.545" Properties=species:S:1:pos:R:3 pbc="T T T"
Pb 8.354 1.881 7.924
Pb 4.748 7.668 1.986
Ge 5.778 8.687 5.327
Ge 9.385 5.183 9.066
Ge 7.323 0.862 4.582
Ge 3.717 4.366 0.843
Se 5.580 2.070 9.545
Se 3.915 -0.093 7.300
Se 7.014 5.791 8.777
Se 2.994 5.243 2.911
Se 2.481 0.811 3.610
Se 7.522 7.479 0.365
Se 6.501 6.653 4.374
Se 6.088 3.758 1.132
Se 10.621 8.737 6.300
Se 9.187 9.642 2.610
Se 10.108 4.305 6.999
Se 6.601 2.896 5.536
Mn 4.748 2.312 7.146
Mn 8.354 7.236 2.763
```

Calculated values
space-group type = C2/c, No. 15
electronic total energy = -4.6249 eV per atom
ΔE_f (raw) = -0.32 eV/atom